Here is KBr4 after structural relaxation from Alexandria. Energies are from PBE.

The structure belongs to space group Im-3m (No. 229); the cell edges are 7.3737, 7.3737 and 7.3737 Å and the angles 90.00°, 90.00° and 90.00°. The asymmetric unit holds K at (0.0000, 0.0000, 0.0000) and Br at (0.2500, 0.2500, 0.2500).

The energy relative to the elements, uncorrected is -0.191 eV/atom. Its density of states at the Fermi level is 5.31 states/eV/f.u.

Here is K3Br after structural relaxation from Alexandria. Energies are from PBE.

The structure belongs to space group Pmm2 (No. 25); the cell edges are 4.3218, 4.4541 and 11.8258 Å and the angles 90.00°, 90.00° and 90.00°. The asymmetric unit holds K at (0.0000, 0.0000, 0.0000), K at (0.0000, 0.5000, 0.3332), K at (0.5000, 0.5000, 0.6944) and Br at (0.5000, 0.0000, 0.2232).

The energy relative to the elements, uncorrected is -0.788 eV/atom. Its density of states at the Fermi level is 2.13 states/eV/f.u.

Here is KBr3 after structural relaxation from Alexandria. Energies are from PBE.

The structure belongs to space group P-6m2 (No. 187); the cell edges are 5.8101, 5.8101 and 6.3919 Å and the angles 90.00°, 90.00° and 120.00°. The asymmetric unit holds K at (0.0000, 0.0000, 0.0000), Br at (0.0000, 0.0000, 0.5000) and Br at (0.3333, 0.6667, 0.1885).

The energy relative to the elements, uncorrected is -0.636 eV/atom. Its density of states at the Fermi level is 2.40 states/eV/f.u.

Here is K3Br after structural relaxation from Alexandria. Energies are from PBE.

The structure belongs to space group Pmmn (No. 59, origin choice 2); the cell edges are 4.3654, 8.8287 and 12.0022 Å and the angles 90.00°, 90.00° and 90.00°. The asymmetric unit holds K at (0.2500, 0.0013, 0.1780), K at (0.2500, 0.2500, 0.5009) and Br at (0.2500, 0.7500, 0.7139).

The energy relative to the elements, uncorrected is -0.770 eV/atom. Its density of states at the Fermi level is 1.97 states/eV/f.u.